[1]
The following is a GGA-PBE calculation of a relaxed KC2 crystal, from Alexandria via LeMat-Bulk.

The structure belongs to space group P4/nmm (No. 129, origin choice 2); the cell edges are 3.2406, 3.2406 and 9.2440 Å and the angles 90.00°, 90.00° and 90.00°. The asymmetric unit holds K at (0.2500, 0.2500, 0.2368), C at (0.2500, 0.2500, 0.5503) and C at (0.2500, 0.7500, 0.5000).

As for the density of states at the Fermi level: 1.0 states/eV/f.u. The volume comes out at 16.2 Å³ per atom. The formation energy is 1.506 eV/atom.

=====

[2]
The following is a GGA-PBE calculation of a relaxed CrFe14Tc crystal, from Alexandria via LeMat-Bulk.

The structure belongs to space group Cmmm (No. 65); the cell edges are 5.7415, 8.1060 and 8.0799 Å and the angles 90.00°, 90.00° and 90.00°. The asymmetric unit holds Cr at (0.0000, 0.0000, 0.0000), Fe at (0.0000, 0.0000, 0.5000), Fe at (0.0000, 0.2503, 0.2510), Fe at (0.0000, 0.5000, 0.5000), Fe at (0.2472, 0.0000, 0.2528), Fe at (0.2500, 0.2500, 0.0000), Fe at (0.2500, 0.2500, 0.5000) and Tc at (0.0000, 0.5000, 0.0000).

As for the density of states at the Fermi level: 12.1 states/eV/f.u. The volume comes out at 11.8 Å³ per atom. The formation energy is 0.031 eV/atom.

=====

[3]
The following is a GGA-PBE calculation of a relaxed Ga2SeI2 crystal, from Alexandria via LeMat-Bulk.

The structure belongs to space group P-1 (No. 2); the cell edges are 7.1639, 7.5508 and 8.5212 Å and the angles 116.13°, 91.76° and 90.01°. The asymmetric unit holds Ga at (0.0568, 0.0511, 0.3932), Ga at (0.4432, 0.1578, 0.6058), Se at (0.2500, 0.3407, 0.4986), I at (0.2404, 0.0132, 0.8223) and I at (0.2596, 0.6907, 0.1789).

As for the density of states at the Fermi level: 0.0 states/eV/f.u. The volume comes out at 41.4 Å³ per atom. The raw formation energy comes out at -0.3994 eV/atom.

=====

[4]
The following is a GGA-PBE calculation of a relaxed LaSmTmZn crystal, from Alexandria via LeMat-Bulk.

The structure belongs to space group P4mm (No. 99); the cell edges are 3.6142, 3.6142 and 8.8113 Å and the angles 90.00°, 90.00° and 90.00°. The asymmetric unit holds La at (0.0000, 0.0000, 0.0000), Sm at (0.5000, 0.5000, 0.6931), Tm at (0.5000, 0.5000, 0.2936) and Zn at (0.0000, 0.0000, 0.4795).

As for the density of states at the Fermi level: 5.6 states/eV/f.u. The volume comes out at 28.8 Å³ per atom. The formation energy is -0.150 eV/atom.

=====

[5]
The following is a GGA-PBE calculation of a relaxed MnSnRuS crystal, from Alexandria via LeMat-Bulk.

The structure belongs to space group Cm (No. 8); the cell edges are 5.1128, 2.9463 and 9.3921 Å and the angles 90.00°, 90.31° and 90.00°. The asymmetric unit holds Mn at (0.0000, 0.0000, 0.0000), Sn at (0.1686, 0.5000, 0.4565), Ru at (0.3371, 0.0000, 0.2064) and S at (0.3317, 0.0000, 0.8503).

As for the density of states at the Fermi level: 2.9 states/eV/f.u. The volume comes out at 17.7 Å³ per atom. The raw formation energy comes out at 0.0176 eV/atom.

=====

[6]
The following is a GGA-PBE calculation of a relaxed Sr3GeSe4 crystal, from Alexandria via LeMat-Bulk.

The structure belongs to space group Pmn2_1 (No. 31); the cell edges are 12.3916, 6.2542 and 6.2551 Å and the angles 90.00°, 90.00° and 90.00°. The asymmetric unit holds Sr at (0.0000, 0.2445, 0.0000), Sr at (0.2499, 0.2485, 0.5014), Ge at (0.0000, 0.7831, 0.5382), Se at (0.0000, 0.1953, 0.5037), Se at (0.0000, 0.7485, 0.9503) and Se at (0.2451, 0.7492, 0.5031).

As for the density of states at the Fermi level: 0.0 states/eV/f.u. The volume comes out at 30.3 Å³ per atom. The raw formation energy comes out at -1.5924 eV/atom.

=====

[7]
The following is a GGA-PBE calculation of a relaxed Ce8Tl2Rh3 crystal, from Alexandria via LeMat-Bulk.

The structure belongs to space group C2/m (No. 12); the cell edges are 16.5419, 6.9095 and 6.2071 Å and the angles 90.00°, 95.58° and 90.00°. The asymmetric unit holds Ce at (0.0933, 0.0000, 0.3860), Ce at (0.0982, 0.2056, 0.8789), Ce at (0.1556, 0.5000, 0.3352), Tl at (0.2442, 0.5000, 0.8415), Rh at (0.0000, 0.3050, 0.5000) and Rh at (0.0000, 0.5000, 0.0000).

As for the density of states at the Fermi level: 33.7 states/eV/f.u. The volume comes out at 27.2 Å³ per atom. The formation energy is -0.226 eV/atom.

=====

[8]
The following is a GGA-PBE calculation of a relaxed TmTlSnBr6 crystal, from Alexandria via LeMat-Bulk.

The structure belongs to space group P312 (No. 149); the cell edges are 7.5307, 7.5307 and 7.1653 Å and the angles 90.00°, 90.00° and 120.00°. The asymmetric unit holds Tm at (0.0000, 0.0000, 0.0000), Tl at (0.6667, 0.3333, 0.5000), Sn at (0.3333, 0.6667, 0.0000) and Br at (0.0219, 0.3112, 0.7744).

As for the density of states at the Fermi level: 0.0 states/eV/f.u. The volume comes out at 39.1 Å³ per atom. The raw formation energy comes out at -1.2935 eV/atom.

=====

[9]
The following is a GGA-PBE calculation of a relaxed La5CeAg4 crystal, from Alexandria via LeMat-Bulk.

The structure belongs to space group P4/mmm (No. 123); the cell edges are 3.7738, 3.7738 and 20.1678 Å and the angles 90.00°, 90.00° and 90.00°. The asymmetric unit holds La at (0.0000, 0.0000, 0.0000), La at (0.0000, 0.0000, 0.1939), La at (0.0000, 0.0000, 0.3864), Ce at (0.5000, 0.5000, 0.5000), Ag at (0.5000, 0.5000, 0.0967) and Ag at (0.5000, 0.5000, 0.2907).

As for the density of states at the Fermi level: 12.4 states/eV/f.u. The volume comes out at 28.7 Å³ per atom. The formation energy is -0.185 eV/atom.

=====

[10]
The following is a GGA-PBE calculation of a relaxed Li2Pr3Cd9 crystal, from Alexandria via LeMat-Bulk.

The structure belongs to space group Immm (No. 71); the cell edges are 4.9491, 9.7237 and 14.2822 Å and the angles 90.00°, 90.00° and 90.00°. The asymmetric unit holds Li at (0.0000, 0.1716, 0.0000), Pr at (0.0000, 0.0000, 0.2153), Pr at (0.0000, 0.0000, 0.5000), Cd at (0.0000, 0.2889, 0.3619), Cd at (0.0000, 0.3559, 0.1502) and Cd at (0.0000, 0.5000, 0.5000).

As for the density of states at the Fermi level: 11.8 states/eV/f.u. The volume comes out at 24.5 Å³ per atom. The formation energy is -0.276 eV/atom.

=====

[11]
The following is a GGA-PBE calculation of a relaxed Ti4Al2Ga3 crystal, from Alexandria via LeMat-Bulk.

The structure belongs to space group C2/m (No. 12); the cell edges are 9.2248, 3.7758 and 8.6077 Å and the angles 90.00°, 105.73° and 90.00°. The asymmetric unit holds Ti at (0.0103, 0.0000, 0.1687), Ti at (0.1789, 0.5000, 0.3867), Al at (0.1529, 0.5000, 0.7182), Ga at (0.0000, 0.0000, 0.5000) and Ga at (0.1721, 0.5000, 0.0573).

As for the density of states at the Fermi level: 6.1 states/eV/f.u. The volume comes out at 16.0 Å³ per atom. The formation energy is -0.359 eV/atom.

=====

[12]
The following is a GGA-PBE calculation of a relaxed TlCrAg crystal, from Alexandria via LeMat-Bulk.

The structure belongs to space group F-43m (No. 216); the cell edges are 6.5323, 6.5323 and 6.5323 Å and the angles 90.00°, 90.00° and 90.00°. The asymmetric unit holds Tl at (0.0000, 0.0000, 0.0000), Cr at (0.2500, 0.2500, 0.7500) and Ag at (0.0000, 0.0000, 0.5000).

As for the density of states at the Fermi level: 2.0 states/eV/f.u. The volume comes out at 23.2 Å³ per atom. The formation energy is 0.644 eV/atom.

=====

[13]
The following is a GGA-PBE calculation of a relaxed Rb2TlFeS crystal, from Alexandria via LeMat-Bulk.

The structure belongs to space group P4/mmm (No. 123); the cell edges are 6.6182, 6.6182 and 4.2866 Å and the angles 90.00°, 90.00° and 90.00°. The asymmetric unit holds Rb at (0.0000, 0.5000, 0.0000), Tl at (0.0000, 0.0000, 0.5000), Fe at (0.5000, 0.5000, 0.5000) and S at (0.5000, 0.5000, 0.0000).

As for the density of states at the Fermi level: 5.0 states/eV/f.u. The volume comes out at 37.6 Å³ per atom. The raw formation energy comes out at -0.0490 eV/atom.

=====

[14]
The following is a GGA-PBE calculation of a relaxed Ac12Nd3Tl crystal, from Alexandria via LeMat-Bulk.

The structure belongs to space group P4/mmm (No. 123); the cell edges are 5.4818, 5.4818 and 22.1664 Å and the angles 90.00°, 90.00° and 90.00°. The asymmetric unit holds Ac at (0.0000, 0.0000, 0.0000), Ac at (0.0000, 0.0000, 0.2484), Ac at (0.0000, 0.0000, 0.5000), Ac at (0.0000, 0.5000, 0.1223), Ac at (0.0000, 0.5000, 0.3740), Nd at (0.5000, 0.5000, 0.2480), Nd at (0.5000, 0.5000, 0.5000) and Tl at (0.5000, 0.5000, 0.0000).

As for the density of states at the Fermi level: 22.5 states/eV/f.u. The volume comes out at 41.6 Å³ per atom. The formation energy is -0.012 eV/atom.

=====

[15]
The following is a GGA-PBE calculation of a relaxed CeNdCu crystal, from Alexandria via LeMat-Bulk.

The structure belongs to space group P3m1 (No. 156); the cell edges are 4.7633, 4.7633 and 3.6675 Å and the angles 90.00°, 90.00° and 120.00°. The asymmetric unit holds Ce at (0.0000, 0.0000, 0.0000), Nd at (0.6667, 0.3333, 0.6388) and Cu at (0.3333, 0.6667, 0.2929).

As for the density of states at the Fermi level: 4.7 states/eV/f.u. The volume comes out at 24.0 Å³ per atom. The formation energy is 0.104 eV/atom.

=====

[16]
The following is a GGA-PBE calculation of a relaxed La2Pm4Sm2Y crystal, from Alexandria via LeMat-Bulk.

The structure belongs to space group C2/m (No. 12); the cell edges are 19.1487, 3.6940 and 9.8052 Å and the angles 90.00°, 115.67° and 90.00°. The asymmetric unit holds La at (0.1659, 0.0000, 0.4991), Pm at (0.0190, 0.0000, 0.8337), Pm at (0.1855, 0.5000, 0.8347), Sm at (0.1475, 0.5000, 0.1659) and Y at (0.0000, 0.5000, 0.5000).

As for the density of states at the Fermi level: 12.6 states/eV/f.u. The volume comes out at 34.7 Å³ per atom. The formation energy is 0.008 eV/atom.

=====

[17]
The following is a GGA-PBE calculation of a relaxed Sm3Te crystal, from Alexandria via LeMat-Bulk.

The structure belongs to space group I4/mmm (No. 139); the cell edges are 4.7457, 4.7457 and 10.6189 Å and the angles 90.00°, 90.00° and 90.00°. The asymmetric unit holds Sm at (0.0000, 0.0000, 0.0000), Sm at (0.0000, 0.5000, 0.2500) and Te at (0.0000, 0.0000, 0.5000).

As for the density of states at the Fermi level: 4.6 states/eV/f.u. The volume comes out at 29.9 Å³ per atom. The raw formation energy comes out at -0.4579 eV/atom.

=====

[18]
The following is a GGA-PBE calculation of a relaxed CaSI3 crystal, from Alexandria via LeMat-Bulk.

The structure belongs to space group Pm-3m (No. 221); the cell edges are 5.6346, 5.6346 and 5.6346 Å and the angles 90.00°, 90.00° and 90.00°. The asymmetric unit holds Ca at (0.0000, 0.0000, 0.0000), S at (0.5000, 0.5000, 0.5000) and I at (0.0000, 0.5000, 0.5000).

As for the density of states at the Fermi level: 1.6 states/eV/f.u. The volume comes out at 35.8 Å³ per atom. The raw formation energy comes out at -0.2799 eV/atom.

=====

[19]
The following is a GGA-PBE calculation of a relaxed Tl3InHg3 crystal, from Alexandria via LeMat-Bulk.

The structure belongs to space group Pm-3n (No. 223); the cell edges are 8.4084, 8.4084 and 8.4084 Å and the angles 90.00°, 90.00° and 90.00°. The asymmetric unit holds Tl at (0.0000, 0.2500, 0.5000), In at (0.0000, 0.0000, 0.0000) and Hg at (0.0000, 0.5000, 0.2500).

As for the density of states at the Fermi level: 5.9 states/eV/f.u. The volume comes out at 42.5 Å³ per atom. The formation energy is 0.309 eV/atom.

=====

[20]
The following is a GGA-PBE calculation of a relaxed LiSc2Rh2 crystal, from Alexandria via LeMat-Bulk.

The structure belongs to space group P4/mbm (No. 127); the cell edges are 7.5302, 7.5302 and 3.1608 Å and the angles 90.00°, 90.00° and 90.00°. The asymmetric unit holds Li at (0.0000, 0.0000, 0.0000), Sc at (0.1541, 0.3459, 0.5000) and Rh at (0.1436, 0.6436, 0.0000).

As for the density of states at the Fermi level: 2.9 states/eV/f.u. The volume comes out at 17.9 Å³ per atom. The formation energy is -0.668 eV/atom.

=====

[21]
The following is a GGA-PBE calculation of a relaxed Pm3Tm4Ru4 crystal, from Alexandria via LeMat-Bulk.

The structure belongs to space group Immm (No. 71); the cell edges are 3.6213, 8.9408 and 16.0290 Å and the angles 90.00°, 90.00° and 90.00°. The asymmetric unit holds Pm at (0.0000, 0.0000, 0.0000), Pm at (0.0000, 0.5000, 0.1000), Tm at (0.0000, 0.3110, 0.3334), Ru at (0.0000, 0.0000, 0.2523) and Ru at (0.0000, 0.2290, 0.5000).

As for the density of states at the Fermi level: 5.7 states/eV/f.u. The volume comes out at 23.6 Å³ per atom. The formation energy is -0.290 eV/atom.

=====

[22]
The following is a GGA-PBE calculation of a relaxed CeNdEr2Hg4 crystal, from Alexandria via LeMat-Bulk.

The structure belongs to space group R-3m (No. 166, hexagonal axes); the cell edges are 5.3327, 5.3327 and 26.1266 Å and the angles 90.00°, 90.00° and 120.00°. The asymmetric unit holds Ce at (0.0000, 0.0000, 0.0000), Nd at (0.0000, 0.0000, 0.5000), Er at (0.0000, 0.0000, 0.2505), Hg at (0.0000, 0.0000, 0.1247) and Hg at (0.0000, 0.0000, 0.3747).

As for the density of states at the Fermi level: 15.4 states/eV/f.u. The volume comes out at 26.8 Å³ per atom. The formation energy is -0.415 eV/atom.

=====

[23]
The following is a GGA-PBE calculation of a relaxed Y2ZrCo crystal, from Alexandria via LeMat-Bulk.

The structure belongs to space group Imm2 (No. 44); the cell edges are 3.4601, 5.1973 and 10.4643 Å and the angles 90.00°, 90.00° and 90.00°. The asymmetric unit holds Y at (0.0000, 0.0000, 0.0000), Y at (0.0000, 0.5000, 0.2017), Zr at (0.0000, 0.5000, 0.8077) and Co at (0.0000, 0.0000, 0.4845).

As for the density of states at the Fermi level: 4.3 states/eV/f.u. The volume comes out at 23.5 Å³ per atom. The formation energy is -0.066 eV/atom.

=====

[24]
The following is a GGA-PBE calculation of a relaxed Gd2PuGa crystal, from Alexandria via LeMat-Bulk.

The structure belongs to space group P4/mmm (No. 123); the cell edges are 3.4857, 3.4857 and 8.7027 Å and the angles 90.00°, 90.00° and 90.00°. The asymmetric unit holds Gd at (0.0000, 0.0000, 0.2176), Pu at (0.5000, 0.5000, 0.5000) and Ga at (0.5000, 0.5000, 0.0000).

As for the density of states at the Fermi level: 9.0 states/eV/f.u. The volume comes out at 26.4 Å³ per atom. The formation energy is -0.189 eV/atom.